(1)
Computed, not measured: an optimized crystal structure of Nd3InCu2 at the PBE level of DFT.

```
data_Nd3InCu2
_cell_length_a 8.7294
_cell_length_b 8.7294
_cell_length_c 14.9824
_cell_angle_alpha 90.00
_cell_angle_beta 90.00
_cell_angle_gamma 120.00
_symmetry_space_group_name_H-M 'R -3 c'
_symmetry_Int_Tables_number 167
_symmetry_space_group_name_Hall '-R 3 2"c'
loop_
_atom_site_label
_atom_site_type_symbol
_atom_site_fract_x
_atom_site_fract_y
_atom_site_fract_z
_atom_site_occupancy
Nd1 Nd 0.0000 0.3186 0.2500 1
In1 In 0.0000 0.0000 0.0000 1
Cu1 Cu 0.0000 0.0000 0.1711 1
```

Calculated values
Energy relative to the lowest polymorph listed for this composition   0.992 eV per formula unit
Calculated total energy   -4.288 eV/atom
ΔE_f   -0.0825 eV per atom
Magnetic moment   0.00 μB/f.u.
DOS at the Fermi energy   1.20 states/eV/atom

***

(2)
Computed, not measured: an optimized crystal structure of BaV3Co at the PBE level of DFT.

```
data_BaV3Co
_cell_length_a 4.6974
_cell_length_b 4.6974
_cell_length_c 4.6974
_cell_angle_alpha 90.00
_cell_angle_beta 90.00
_cell_angle_gamma 90.00
_symmetry_space_group_name_H-M 'P m -3 m'
_symmetry_Int_Tables_number 221
_symmetry_space_group_name_Hall '-P 4 2 3'
loop_
_atom_site_label
_atom_site_type_symbol
_atom_site_fract_x
_atom_site_fract_y
_atom_site_fract_z
_atom_site_occupancy
Ba1 Ba 0.0000 0.0000 0.0000 1
V1 V 0.0000 0.5000 0.5000 1
Co1 Co 0.5000 0.5000 0.5000 1
```

Calculated values
Energy relative to the lowest polymorph listed for this composition   0.000 eV per formula unit
Calculated total energy   -6.424 eV/atom
ΔE_f   0.8529 eV per atom
Magnetic moment   6.19 μB/f.u.
DOS at the Fermi energy   1.07 states/eV/atom